No. 1
DFT (PBE-GGA) results for a relaxed structure of Co2ReAs.

It has space group P-1 (No. 2), with a = 4.707 Å, b = 4.736 Å, c = 5.089 Å, α = 81.56°, β = 88.81° and γ = 66.46°. The asymmetric unit holds Co at (0.175, 0.049, 0.314), Co at (0.201, 0.570, 0.102), Re at (0.273, 0.431, 0.606) and As at (0.338, 0.895, 0.797).

The value obtained for the volume is 102.8 Å³/cell. The raw total energy is -7.756 eV/atom. The value obtained for the theoretical density is 12.24 Mg/m³. As for the formation energy: 70.9 meV per atom. For the density of states at the Fermi level, the calculation gives 1.10 states/eV/atom.

No. 2
DFT (PBE-GGA) results for a relaxed structure of Co2ReAs.

It has space group P1 (No. 1), with a = 4.422 Å, b = 4.685 Å, c = 4.970 Å, α = 88.64°, β = 89.59° and γ = 86.76°. The asymmetric unit holds Co at (0.000, 0.000, 0.000), Co at (0.231, 0.298, 0.388), Co at (0.486, 0.952, 0.722), Co at (0.761, 0.481, 0.166), Re at (0.009, 0.810, 0.518), Re at (0.258, 0.478, 0.887), As at (0.496, 0.913, 0.195) and As at (0.757, 0.355, 0.648).

The value obtained for the volume is 102.8 Å³/cell. The raw total energy is -7.689 eV/atom. The value obtained for the theoretical density is 12.25 Mg/m³. As for the formation energy: 137.9 meV per atom. For the density of states at the Fermi level, the calculation gives 0.97 states/eV/atom.

No. 3
DFT (PBE-GGA) results for a relaxed structure of Co2ReAs.

It has space group P2_1/m (No. 11), with a = 3.839 Å, b = 3.621 Å, c = 7.715 Å, α = 90.00°, β = 98.93° and γ = 90.00°. The asymmetric unit holds Co at (0.036, 0.250, 0.115), Co at (0.402, 0.750, 0.623), Re at (0.463, 0.250, 0.888) and As at (0.106, 0.750, 0.341).

The value obtained for the volume is 106.0 Å³/cell. The raw total energy is -7.811 eV/atom. The value obtained for the theoretical density is 11.88 Mg/m³. As for the formation energy: 16.7 meV per atom. For the density of states at the Fermi level, the calculation gives 1.11 states/eV/atom.